This record from Alexandria describes a relaxed structure of TiAg3H. The functional is PBE.

Summary:
Its total energy is -3.553 eV/atom.

CIF file:
```
data_TiAg3H
_symmetry_space_group_name_H-M 'P 1'
_symmetry_Int_Tables_number 1
_symmetry_space_group_name_Hall 'P 1'
_cell_length_a 4.228
_cell_length_b 4.228
_cell_length_c 4.228
_cell_angle_alpha 90.00
_cell_angle_beta 90.00
_cell_angle_gamma 90.00
loop_
_atom_site_label
_atom_site_type_symbol
_atom_site_fract_x
_atom_site_fract_y
_atom_site_fract_z
_atom_site_occupancy
Ti1 Ti 0.000 0.000 0.000 1
Ag1 Ag 0.000 0.500 0.500 1
Ag2 Ag 0.500 0.000 0.500 1
Ag3 Ag 0.500 0.500 0.000 1
H1 H 0.500 0.500 0.500 1
```

This record from Alexandria describes a relaxed structure of Cs2ZrTiMo. The functional is PBE.

Summary:
The calculation puts the energy relative to the elements at 1976 meV per atom.

CIF file:
```
data_Cs2ZrTiMo
_symmetry_space_group_name_H-M 'P 1'
_symmetry_Int_Tables_number 1
_symmetry_space_group_name_Hall 'P 1'
_cell_length_a 6.833
_cell_length_b 6.833
_cell_length_c 4.469
_cell_angle_alpha 90.00
_cell_angle_beta 90.00
_cell_angle_gamma 90.00
loop_
_atom_site_label
_atom_site_type_symbol
_atom_site_fract_x
_atom_site_fract_y
_atom_site_fract_z
_atom_site_occupancy
Cs1 Cs 0.000 0.500 0.000 1
Cs2 Cs 0.500 0.000 0.000 1
Zr1 Zr 0.000 0.000 0.500 1
Ti1 Ti 0.500 0.500 0.000 1
Mo1 Mo 0.500 0.500 0.500 1
```

This record from Alexandria describes a relaxed structure of AcF4. The functional is PBE.

Summary:
As for the energy relative to the elements, uncorrected: -3.247 eV/atom.

CIF file:
```
data_AcF4
_symmetry_space_group_name_H-M 'P 1'
_symmetry_Int_Tables_number 1
_symmetry_space_group_name_Hall 'P 1'
_cell_length_a 9.096
_cell_length_b 9.096
_cell_length_c 8.791
_cell_angle_alpha 113.60
_cell_angle_beta 113.60
_cell_angle_gamma 84.42
loop_
_atom_site_label
_atom_site_type_symbol
_atom_site_fract_x
_atom_site_fract_y
_atom_site_fract_z
_atom_site_occupancy
Ac1 Ac 0.194 0.806 0.750 1
Ac2 Ac 0.225 0.358 0.137 1
Ac3 Ac 0.358 0.225 0.637 1
Ac4 Ac 0.642 0.775 0.363 1
Ac5 Ac 0.775 0.642 0.863 1
Ac6 Ac 0.806 0.194 0.250 1
F1 F 0.000 0.500 0.000 1
F2 F 0.025 0.706 0.849 1
F3 F 0.071 0.166 0.448 1
F4 F 0.166 0.071 0.948 1
F5 F 0.213 0.496 0.622 1
F6 F 0.233 0.592 0.460 1
F7 F 0.249 0.345 0.865 1
F8 F 0.294 0.975 0.651 1
F9 F 0.345 0.249 0.365 1
F10 F 0.408 0.767 0.040 1
F11 F 0.411 0.589 0.250 1
F12 F 0.496 0.213 0.122 1
F13 F 0.500 0.000 0.500 1
F14 F 0.504 0.787 0.878 1
F15 F 0.589 0.411 0.750 1
F16 F 0.592 0.233 0.960 1
F17 F 0.655 0.751 0.635 1
F18 F 0.706 0.025 0.349 1
F19 F 0.751 0.655 0.135 1
F20 F 0.767 0.408 0.540 1
F21 F 0.787 0.504 0.378 1
F22 F 0.834 0.929 0.052 1
F23 F 0.929 0.834 0.552 1
F24 F 0.975 0.294 0.151 1
```

This record from Alexandria describes a relaxed structure of NaLiIn. The functional is PBE.

Summary:
The calculation puts the energy relative to the elements at -82 meV per atom.

CIF file:
```
data_NaLiIn
_symmetry_space_group_name_H-M 'P 1'
_symmetry_Int_Tables_number 1
_symmetry_space_group_name_Hall 'P 1'
_cell_length_a 4.696
_cell_length_b 4.696
_cell_length_c 8.486
_cell_angle_alpha 107.18
_cell_angle_beta 107.18
_cell_angle_gamma 64.70
loop_
_atom_site_label
_atom_site_type_symbol
_atom_site_fract_x
_atom_site_fract_y
_atom_site_fract_z
_atom_site_occupancy
Na1 Na 0.222 0.222 0.116 1
Na2 Na 0.778 0.778 0.884 1
Li1 Li 0.349 0.349 0.547 1
Li2 Li 0.651 0.651 0.453 1
In1 In 0.055 0.055 0.684 1
In2 In 0.945 0.945 0.316 1
```

This record from Alexandria describes a relaxed structure of AcY5Ho7. The functional is PBE.

Summary:
The calculation puts the energy relative to the elements at 259 meV per atom.

CIF file:
```
data_AcY5Ho7
_symmetry_space_group_name_H-M 'P 1'
_symmetry_Int_Tables_number 1
_symmetry_space_group_name_Hall 'P 1'
_cell_length_a 8.798
_cell_length_b 8.798
_cell_length_c 8.798
_cell_angle_alpha 135.36
_cell_angle_beta 99.35
_cell_angle_gamma 97.24
loop_
_atom_site_label
_atom_site_type_symbol
_atom_site_fract_x
_atom_site_fract_y
_atom_site_fract_z
_atom_site_occupancy
Ac1 Ac 0.000 0.000 0.000 1
Y1 Y 0.006 0.012 0.471 1
Y2 Y 0.006 0.534 0.993 1
Y3 Y 0.236 0.736 0.500 1
Y4 Y 0.541 0.012 0.007 1
Y5 Y 0.541 0.534 0.529 1
Ho1 Ho 0.228 0.519 0.709 1
Ho2 Ho 0.320 0.320 0.000 1
Ho3 Ho 0.369 0.021 0.348 1
Ho4 Ho 0.602 0.602 0.000 1
Ho5 Ho 0.672 0.021 0.652 1
Ho6 Ho 0.807 0.307 0.500 1
Ho7 Ho 0.811 0.519 0.291 1
```

This record from Alexandria describes a relaxed structure of AlZnGaO4. The functional is PBE.

Summary:
As for the energy relative to the elements, uncorrected: -2.190 eV/atom.

CIF file:
```
data_AlZnGaO4
_symmetry_space_group_name_H-M 'P 1'
_symmetry_Int_Tables_number 1
_symmetry_space_group_name_Hall 'P 1'
_cell_length_a 5.884
_cell_length_b 5.884
_cell_length_c 5.884
_cell_angle_alpha 120.52
_cell_angle_beta 119.67
_cell_angle_gamma 89.83
loop_
_atom_site_label
_atom_site_type_symbol
_atom_site_fract_x
_atom_site_fract_y
_atom_site_fract_z
_atom_site_occupancy
Al1 Al 0.500 0.000 0.000 1
Al2 Al 0.500 0.500 0.500 1
Zn1 Zn 0.124 0.374 0.750 1
Zn2 Zn 0.876 0.626 0.250 1
Ga1 Ga 0.000 0.000 0.000 1
Ga2 Ga 0.500 0.000 0.500 1
O1 O 0.268 0.248 0.480 1
O2 O 0.268 0.789 0.020 1
O3 O 0.273 0.242 0.032 1
O4 O 0.290 0.758 0.532 1
O5 O 0.710 0.242 0.468 1
O6 O 0.727 0.758 0.968 1
O7 O 0.732 0.211 0.980 1
O8 O 0.732 0.752 0.520 1
```

This record from Alexandria describes a relaxed structure of Ba2GaHgPd. The functional is PBE.

Summary:
The calculation puts the energy relative to the elements at -445 meV per atom.

CIF file:
```
data_Ba2GaHgPd
_symmetry_space_group_name_H-M 'P 1'
_symmetry_Int_Tables_number 1
_symmetry_space_group_name_Hall 'P 1'
_cell_length_a 6.156
_cell_length_b 6.156
_cell_length_c 4.850
_cell_angle_alpha 90.00
_cell_angle_beta 90.00
_cell_angle_gamma 90.00
loop_
_atom_site_label
_atom_site_type_symbol
_atom_site_fract_x
_atom_site_fract_y
_atom_site_fract_z
_atom_site_occupancy
Ba1 Ba 0.000 0.500 0.000 1
Ba2 Ba 0.500 0.000 0.000 1
Ga1 Ga 0.000 0.000 0.500 1
Hg1 Hg 0.500 0.500 0.500 1
Pd1 Pd 0.000 0.000 0.000 1
```

This record from Alexandria describes a relaxed structure of Tl2AsN. The functional is PBE.

Summary:
As for the energy relative to the elements, uncorrected: 1.108 eV/atom.

CIF file:
```
data_Tl2AsN
_symmetry_space_group_name_H-M 'P 1'
_symmetry_Int_Tables_number 1
_symmetry_space_group_name_Hall 'P 1'
_cell_length_a 4.990
_cell_length_b 4.990
_cell_length_c 4.990
_cell_angle_alpha 60.00
_cell_angle_beta 60.00
_cell_angle_gamma 60.00
loop_
_atom_site_label
_atom_site_type_symbol
_atom_site_fract_x
_atom_site_fract_y
_atom_site_fract_z
_atom_site_occupancy
Tl1 Tl 0.250 0.250 0.250 1
Tl2 Tl 0.750 0.750 0.750 1
As1 As 0.000 0.000 0.000 1
N1 N 0.500 0.500 0.500 1
```

This record from Alexandria describes a relaxed structure of InCuW2. The functional is PBE.

Summary:
The calculation puts the energy relative to the elements at 511 meV per atom.

CIF file:
```
data_InCuW2
_symmetry_space_group_name_H-M 'P 1'
_symmetry_Int_Tables_number 1
_symmetry_space_group_name_Hall 'P 1'
_cell_length_a 2.754
_cell_length_b 4.512
_cell_length_c 5.407
_cell_angle_alpha 90.00
_cell_angle_beta 102.41
_cell_angle_gamma 90.00
loop_
_atom_site_label
_atom_site_type_symbol
_atom_site_fract_x
_atom_site_fract_y
_atom_site_fract_z
_atom_site_occupancy
In1 In 0.000 0.000 0.000 1
Cu1 Cu 0.000 0.000 0.500 1
W1 W 0.467 0.500 0.736 1
W2 W 0.533 0.500 0.264 1
```

This record from Alexandria describes a relaxed structure of Lu2CuTc. The functional is PBE.

Summary:
The calculation puts the energy relative to the elements at -188 meV per atom.

CIF file:
```
data_Lu2CuTc
_symmetry_space_group_name_H-M 'P 1'
_symmetry_Int_Tables_number 1
_symmetry_space_group_name_Hall 'P 1'
_cell_length_a 4.765
_cell_length_b 4.765
_cell_length_c 4.765
_cell_angle_alpha 60.00
_cell_angle_beta 60.00
_cell_angle_gamma 60.00
loop_
_atom_site_label
_atom_site_type_symbol
_atom_site_fract_x
_atom_site_fract_y
_atom_site_fract_z
_atom_site_occupancy
Lu1 Lu 0.250 0.250 0.250 1
Lu2 Lu 0.750 0.750 0.750 1
Cu1 Cu 0.000 0.000 0.000 1
Tc1 Tc 0.500 0.500 0.500 1
```

This record from Alexandria describes a relaxed structure of Tb2Al4SnAu3. The functional is PBE.

Summary:
The calculation puts the energy relative to the elements at -619 meV per atom.

CIF file:
```
data_Tb2Al4SnAu3
_symmetry_space_group_name_H-M 'P 1'
_symmetry_Int_Tables_number 1
_symmetry_space_group_name_Hall 'P 1'
_cell_length_a 4.324
_cell_length_b 4.324
_cell_length_c 10.979
_cell_angle_alpha 90.00
_cell_angle_beta 90.00
_cell_angle_gamma 90.00
loop_
_atom_site_label
_atom_site_type_symbol
_atom_site_fract_x
_atom_site_fract_y
_atom_site_fract_z
_atom_site_occupancy
Tb1 Tb 0.000 0.500 0.245 1
Tb2 Tb 0.500 0.000 0.755 1
Al1 Al 0.000 0.000 0.000 1
Al2 Al 0.000 0.500 0.649 1
Al3 Al 0.500 0.000 0.351 1
Al4 Al 0.500 0.500 0.000 1
Sn1 Sn 0.000 0.000 0.500 1
Au1 Au 0.000 0.500 0.871 1
Au2 Au 0.500 0.000 0.129 1
Au3 Au 0.500 0.500 0.500 1
```